A plane-wave DFT calculation with PBE was carried out for a relaxed structure of Pm9Y4Hg11.

Cell lengths 15.9139, 23.1904, 3.5884 Å; angles 90.00, 90.00, 90.00 degrees
Space group Cmmm (No. 65)
Inequivalent atoms, fractional coordinates:
Pm  0.0000  0.0000  0.0000 (multiplicity 2)
Pm  0.1135  0.2406  0.0000 (multiplicity 8)
Pm  0.1200  0.4146  0.0000 (multiplicity 8)
Y  0.1557  0.0915  0.0000 (multiplicity 8)
Hg  0.0000  0.1330  0.5000 (multiplicity 4)
Hg  0.0000  0.3297  0.5000 (multiplicity 4)
Hg  0.0000  0.5000  0.5000 (multiplicity 2)
Hg  0.2364  0.3218  0.5000 (multiplicity 8)
Hg  0.2499  0.0000  0.5000 (multiplicity 4)

Computed properties:
As for the total magnetization: 7.3 μB/cell. The calculation puts the energy relative to the elements at -9.27 eV per formula unit. The mass density is 9.7 g cm⁻³.